<P>
{"formula": "Bi3BW", "functional": "PBE", "state": "optimized geometry", "space_group": "No. 221", "lattice_angstrom": [[5.391, 0.000, 0.000], [0.000, 5.391, 0.000], [0.000, 0.000, 5.391]], "species": ["Bi", "Bi", "Bi", "B", "W"], "frac_coords": [[0.000, 0.000, 0.500], [0.000, 0.500, 0.000], [0.500, 0.000, 0.000], [0.500, 0.500, 0.500], [0.000, 0.000, 0.000]]}

=====

<Q>
{"formula": "Bi3BW", "functional": "PBE", "state": "optimized geometry", "space_group": "No. 221", "lattice_angstrom": [[4.959, 0.000, 0.000], [0.000, 4.959, 0.000], [0.000, 0.000, 4.959]], "species": ["Bi", "Bi", "Bi", "B", "W"], "frac_coords": [[0.000, 0.000, 0.500], [0.000, 0.500, 0.000], [0.500, 0.000, 0.000], [0.000, 0.000, 0.000], [0.500, 0.500, 0.500]]}

=====

Energy comparison, zero being the most stable, in kJ/mol of atoms: <P> 9.9; <Q> 0.0.

=====

<P>
{"formula": "BiB3W", "functional": "PBE", "state": "optimized geometry", "space_group": "No. 221", "lattice_angstrom": [[4.288, 0.000, 0.000], [0.000, 4.288, 0.000], [0.000, 0.000, 4.288]], "species": ["Bi", "B", "B", "B", "W"], "frac_coords": [[0.000, 0.000, 0.000], [0.000, 0.500, 0.500], [0.500, 0.000, 0.500], [0.500, 0.500, 0.000], [0.500, 0.500, 0.500]]}

=====

<Q>
{"formula": "BiB3W", "functional": "PBE", "state": "optimized geometry", "space_group": "No. 221", "lattice_angstrom": [[4.457, 0.000, 0.000], [0.000, 4.457, 0.000], [0.000, 0.000, 4.457]], "species": ["Bi", "B", "B", "B", "W"], "frac_coords": [[0.000, 0.000, 0.000], [0.000, 0.000, 0.500], [0.000, 0.500, 0.000], [0.500, 0.000, 0.000], [0.500, 0.500, 0.500]]}

=====

Energy comparison, zero being the most stable, in kJ/mol of atoms: <P> 0.0; <Q> 196.3.

=====

<P>
{"formula": "YBiB3", "functional": "PBE", "state": "optimized geometry", "space_group": "No. 221", "lattice_angstrom": [[4.688, 0.000, 0.000], [0.000, 4.688, 0.000], [0.000, 0.000, 4.688]], "species": ["Y", "Bi", "B", "B", "B"], "frac_coords": [[0.000, 0.000, 0.000], [0.500, 0.500, 0.500], [0.000, 0.000, 0.500], [0.000, 0.500, 0.000], [0.500, 0.000, 0.000]]}

=====

<Q>
{"formula": "YBiB3", "functional": "PBE", "state": "optimized geometry", "space_group": "No. 221", "lattice_angstrom": [[4.644, 0.000, 0.000], [0.000, 4.644, 0.000], [0.000, 0.000, 4.644]], "species": ["Y", "Bi", "B", "B", "B"], "frac_coords": [[0.000, 0.000, 0.000], [0.500, 0.500, 0.500], [0.000, 0.500, 0.500], [0.500, 0.000, 0.500], [0.500, 0.500, 0.000]]}

=====

Energy comparison, zero being the most stable, in kJ/mol of atoms: <P> 9.1; <Q> 0.0.

=====

<P>
{"formula": "ZnBi2B", "functional": "PBE", "state": "optimized geometry", "space_group": "No. 122", "lattice_angstrom": [[-3.040, 3.040, 5.665], [3.040, -3.040, 5.665], [3.040, 3.040, -5.665]], "species": ["Zn", "Zn", "Bi", "Bi", "Bi", "Bi", "B", "B"], "frac_coords": [[0.000, 0.000, 0.000], [0.750, 0.250, 0.500], [0.172, 0.625, 0.047], [0.375, 0.422, 0.547], [0.578, 0.125, 0.953], [0.875, 0.828, 0.453], [0.250, 0.750, 0.500], [0.500, 0.500, 0.000]]}

=====

<Q>
{"formula": "ZnBi2B", "functional": "PBE", "state": "optimized geometry", "space_group": "No. 225", "lattice_angstrom": [[0.000, 3.528, 3.528], [3.528, 0.000, 3.528], [3.528, 3.528, 0.000]], "species": ["Zn", "Bi", "Bi", "B"], "frac_coords": [[0.000, 0.000, 0.000], [0.250, 0.250, 0.250], [0.750, 0.750, 0.750], [0.500, 0.500, 0.500]]}

=====

Energy comparison, zero being the most stable, in kJ/mol of atoms: <P> 0.0; <Q> 39.4.